DFT (PBE) results for crystalline Na12Hg6Rh at its relaxed geometry.

Unit cell a=7.966 b=7.966 c=7.966 alpha=88.25 beta=88.25 gamma=88.25
Fractional coordinates of all 19 atoms:
Na: 0.030 0.930 0.309
Na: 0.070 0.691 0.970
Na: 0.137 0.474 0.359
Na: 0.309 0.030 0.930
Na: 0.359 0.137 0.474
Na: 0.474 0.359 0.137
Na: 0.526 0.641 0.863
Na: 0.641 0.863 0.526
Na: 0.691 0.970 0.070
Na: 0.863 0.526 0.641
Na: 0.930 0.309 0.030
Na: 0.970 0.070 0.691
Hg: 0.238 0.396 0.750
Hg: 0.250 0.762 0.604
Hg: 0.396 0.750 0.238
Hg: 0.604 0.250 0.762
Hg: 0.750 0.238 0.396
Hg: 0.762 0.604 0.250
Rh: 0.500 0.500 0.500

Properties
The density comes out at 5.2 Mg/m³. The space group is R-3, No. 148. For the total energy, the calculation gives -1.450 eV/atom. Its magnetization is 0.000 μB per atom. The calculation puts the energy of formation from the pure elements at -0.135 eV/atom.

---

DFT (PBE) results for crystalline Pm3SmY4 at its relaxed geometry.

Unit cell a=11.538 b=7.354 c=6.348 alpha=90.00 beta=90.00 gamma=90.00
Fractional coordinates of all 16 atoms:
Pm: 0.000 0.126 0.000
Pm: 0.250 0.126 0.331
Pm: 0.250 0.874 0.831
Pm: 0.500 0.874 0.500
Pm: 0.750 0.126 0.331
Pm: 0.750 0.874 0.831
Sm: 0.000 0.874 0.500
Sm: 0.500 0.126 0.000
Y: 0.000 0.376 0.497
Y: 0.000 0.624 0.997
Y: 0.250 0.377 0.833
Y: 0.250 0.623 0.333
Y: 0.500 0.376 0.497
Y: 0.500 0.624 0.997
Y: 0.750 0.377 0.833
Y: 0.750 0.623 0.333

Properties
The density comes out at 5.8 Mg/m³. The space group is Pmn2_1, No. 31. For the total energy, the calculation gives -5.585 eV/atom. Its magnetization is 0.000 μB per atom. The calculation puts the energy of formation from the pure elements at 0.018 eV/atom.

---

DFT (PBE) results for crystalline Tb3Dy2S4 at its relaxed geometry.

Unit cell a=3.868 b=3.868 c=15.986 alpha=90.03 beta=90.03 gamma=60.00
Fractional coordinates of all 9 atoms:
Tb: 0.000 0.000 0.000
Tb: 0.334 0.334 0.409
Tb: 0.666 0.666 0.591
Dy: 0.333 0.333 0.795
Dy: 0.667 0.667 0.205
S: 0.001 0.001 0.305
S: 0.334 0.334 0.103
S: 0.666 0.666 0.897
S: 0.999 0.999 0.695

Properties
As for the formation energy (no corrections): -1.76 eV/atom. The density comes out at 7.5 Mg/m³. The space group is C2/m, No. 12. For the total energy, the calculation gives -6.162 eV/atom. Its magnetization is 0.023 μB per atom.

---

DFT (PBE) results for crystalline Sm7Tl2Rh2 at its relaxed geometry.

Unit cell a=6.972 b=6.972 c=7.249 alpha=90.00 beta=90.00 gamma=107.57
Fractional coordinates of all 11 atoms:
Sm: 0.000 0.000 0.000
Sm: 0.000 0.500 0.249
Sm: 0.000 0.500 0.751
Sm: 0.500 0.000 0.249
Sm: 0.500 0.000 0.751
Sm: 0.500 0.500 0.241
Sm: 0.500 0.500 0.759
Tl: 0.180 0.180 0.500
Tl: 0.820 0.820 0.500
Rh: 0.290 0.710 0.000
Rh: 0.710 0.290 0.000

Properties
The density comes out at 8.2 Mg/m³. The space group is Cmmm, No. 65. For the total energy, the calculation gives -5.124 eV/atom. Its magnetization is 0.000 μB per atom. The calculation puts the energy of formation from the pure elements at -0.354 eV/atom.

---

DFT (PBE) results for crystalline PmPW at its relaxed geometry.

Unit cell a=6.753 b=6.753 c=5.658 alpha=104.16 beta=104.16 gamma=94.49
Fractional coordinates of all 12 atoms:
Pm: 0.078 0.922 0.500
Pm: 0.249 0.481 0.407
Pm: 0.481 0.249 0.907
Pm: 0.922 0.078 0.000
P: 0.099 0.374 0.801
P: 0.374 0.099 0.301
P: 0.534 0.800 0.787
P: 0.800 0.534 0.287
W: 0.253 0.749 0.991
W: 0.595 0.832 0.384
W: 0.749 0.253 0.491
W: 0.832 0.595 0.884

Properties
The density comes out at 10.0 Mg/m³. The space group is Cc, No. 9. For the total energy, the calculation gives -8.073 eV/atom. Its magnetization is 0.000 μB per atom. The calculation puts the energy of formation from the pure elements at -0.368 eV/atom.

---

DFT (PBE) results for crystalline PmGdPdRu at its relaxed geometry.

Unit cell a=7.025 b=7.025 c=7.025 alpha=90.00 beta=90.00 gamma=90.00
Fractional coordinates of all 16 atoms:
Pm: 0.000 0.000 0.000
Pm: 0.000 0.500 0.500
Pm: 0.500 0.000 0.500
Pm: 0.500 0.500 0.000
Gd: 0.000 0.000 0.500
Gd: 0.000 0.500 0.000
Gd: 0.500 0.000 0.000
Gd: 0.500 0.500 0.500
Pd: 0.250 0.250 0.750
Pd: 0.250 0.750 0.250
Pd: 0.750 0.250 0.250
Pd: 0.750 0.750 0.750
Ru: 0.250 0.250 0.250
Ru: 0.250 0.750 0.750
Ru: 0.750 0.250 0.750
Ru: 0.750 0.750 0.250

Properties
The density comes out at 9.8 Mg/m³. The space group is F-43m, No. 216. For the total energy, the calculation gives -8.846 eV/atom. Its magnetization is 1.778 μB per atom. The calculation puts the energy of formation from the pure elements at -0.521 eV/atom.